# SrAlCd3 | the Alexandria database | meta-GGA SCAN | PBEsol geometry
# - magnetic moment (μB/f.u.) = 0.00
# - calculated volume (A^3/atom) = 27.6
# - crystal system = cubic
# - mass density (Mg/m³) = 5.4
# - formation energy (kJ/mol of atoms) = -2.2
data_SrAlCd3
_chemical_formula_sum 'Sr1 Al1 Cd3'
_cell_length_a 5.1682
_cell_length_b 5.1682
_cell_length_c 5.1682
_cell_angle_alpha 90.00
_cell_angle_beta 90.00
_cell_angle_gamma 90.00
_symmetry_space_group_name_H-M 'P m -3 m'
_symmetry_Int_Tables_number 221
_symmetry_space_group_name_Hall '-P 4 2 3'
loop_
_atom_site_label
_atom_site_fract_x
_atom_site_fract_y
_atom_site_fract_z
Sr1 0.0000 0.0000 0.0000
Al1 0.5000 0.5000 0.5000
Cd1 0.0000 0.5000 0.5000